Compound: NiTeBr2
Source: the Alexandria database
Functional: PBE
Structure: optimized geometry

Computed properties:
Its polymorph energy (0 for the lowest one) is 0.2805 eV per atom. The formation energy from raw total energies is 0.032 eV/atom. Its space group is C2/m (12). The calculation puts the total moment at 1.27 Bohr magnetons per cell.

abc: 6.378 6.378 5.977
angles: 104.43 104.43 31.39
Positions (direct):
Ni 0.000 0.000 0.000
Te 0.500 0.500 0.500
Br 0.365 0.365 0.817
Br 0.635 0.635 0.183


Compound: CeNdNi2P2
Source: the Alexandria database
Functional: PBE
Structure: optimized geometry

Computed properties:
Its space group is P-3m1 (164). As for the calculated formation energy: -7.026 eV per formula unit. The calculation puts the total moment at 0.58 Bohr magnetons per cell.

abc: 3.957 3.957 7.989
angles: 90.00 90.00 120.00
Positions (direct):
Ce 0.000 0.000 0.000
Nd 0.000 0.000 0.500
Ni 0.333 0.667 0.235
Ni 0.667 0.333 0.765
P 0.333 0.667 0.751
P 0.667 0.333 0.249


Compound: Sc6Al7Ni16
Source: the Alexandria database
Functional: PBE
Structure: optimized geometry

Computed properties:
Its space group is Fm-3m (225). As for the calculated formation energy: -17.796 eV per formula unit. The calculation puts the total moment at 0.00 Bohr magnetons per cell.

abc: 8.288 8.288 8.288
angles: 60.00 60.00 60.00
Positions (direct):
Sc 0.216 0.216 0.784
Sc 0.216 0.784 0.216
Sc 0.216 0.784 0.784
Sc 0.784 0.216 0.216
Sc 0.784 0.216 0.784
Sc 0.784 0.784 0.216
Al 0.000 0.000 0.500
Al 0.000 0.500 0.000
Al 0.000 0.500 0.500
Al 0.500 0.000 0.000
Al 0.500 0.000 0.500
Al 0.500 0.500 0.000
Al 0.500 0.500 0.500
Ni 0.135 0.622 0.622
Ni 0.170 0.170 0.170
Ni 0.170 0.170 0.490
Ni 0.170 0.490 0.170
Ni 0.378 0.378 0.378
Ni 0.378 0.378 0.865
Ni 0.378 0.865 0.378
Ni 0.490 0.170 0.170
Ni 0.510 0.830 0.830
Ni 0.622 0.135 0.622
Ni 0.622 0.622 0.135
Ni 0.622 0.622 0.622
Ni 0.830 0.510 0.830
Ni 0.830 0.830 0.510
Ni 0.830 0.830 0.830
Ni 0.865 0.378 0.378


Compound: Pm3AgAu2
Source: the Alexandria database
Functional: PBE
Structure: optimized geometry

Computed properties:
Its polymorph energy (0 for the lowest one) is 0.0000 eV per atom. Its space group is P4/mmm (123). As for the calculated formation energy: -3.721 eV per formula unit. The calculation puts the total moment at 0.00 Bohr magnetons per cell.

abc: 3.696 3.696 11.147
angles: 90.00 90.00 90.00
Positions (direct):
Pm 0.000 0.000 0.000
Pm 0.000 0.000 0.329
Pm 0.000 0.000 0.671
Ag 0.500 0.500 0.500
Au 0.500 0.500 0.168
Au 0.500 0.500 0.832


Compound: LaCd2Ir
Source: the Alexandria database
Functional: PBE
Structure: optimized geometry

Computed properties:
Its space group is P4/mmm (123). As for the calculated formation energy: -0.943 eV per formula unit. The calculation puts the total moment at 0.00 Bohr magnetons per cell.

abc: 4.139 4.139 5.374
angles: 90.00 90.00 90.00
Positions (direct):
La 0.000 0.000 0.000
Cd 0.000 0.500 0.500
Cd 0.500 0.000 0.500
Ir 0.500 0.500 0.000


Compound: TcMo
Source: the Alexandria database
Functional: PBE
Structure: optimized geometry

Computed properties:
Its polymorph energy (0 for the lowest one) is 0.0243 eV per atom. Its space group is P4/nmm (129). As for the calculated formation energy: 0.200 eV per formula unit. The calculation puts the total moment at 0.00 Bohr magnetons per cell.

abc: 4.426 4.426 6.260
angles: 90.00 90.00 90.00
Positions (direct):
Tc 0.250 0.250 0.230
Tc 0.250 0.750 0.500
Tc 0.750 0.250 0.500
Tc 0.750 0.750 0.770
Mo 0.250 0.250 0.742
Mo 0.250 0.750 0.000
Mo 0.750 0.250 0.000
Mo 0.750 0.750 0.258